1.
Compound: SbTe2Pt
Source: Alexandria via LeMat-Bulk
Functional: PBEsol
Structure: optimized geometry

Properties
The total energy comes out at -4.62 eV per atom. The density of states at the Fermi level comes out at 0.512 states/eV/atom.

a b c (Å): 3.1601 3.1601 9.8901
angles (deg): 90.00 90.00 90.00
With the nearest neighbours (Å) after each atom.
Space group P4mm (No. 99)
Asymmetric unit:
Sb 0.0000 0.0000 0.0000 (multiplicity 1)  4 Pt 2.79
Te 0.0000 0.0000 0.6266 (multiplicity 1)  4 Pt 3.01, 4 Te 3.16
Te 0.5000 0.5000 0.2922 (multiplicity 1)  4 Te 3.16
Pt 0.5000 0.5000 0.8304 (multiplicity 1)  4 Sb 2.79, 4 Te 3.01

=====

2.
Compound: MgMn2Cl
Source: Alexandria via LeMat-Bulk
Functional: PBEsol
Structure: optimized geometry

Properties
As for the energy above the most stable polymorph in this dataset: 278.9 meV/atom. The density of states at the Fermi level comes out at 0.791 states/eV/atom.

a b c (Å): 3.1970 5.0616 8.4093
angles (deg): 90.00 90.00 90.00
With the nearest neighbours (Å) after each atom.
Space group Cmmm (No. 65)
Asymmetric unit:
Mg 0.0000 0.0000 0.0000 (multiplicity 2)  4 Mn 2.77, 4 Mg 2.99
Mn 0.0000 0.5000 0.2687 (multiplicity 4)  2 Cl 2.52, 2 Mg 2.77
Cl 0.0000 0.0000 0.5000 (multiplicity 2)  4 Mn 2.52

=====

3.
Compound: ZnMoRh2
Source: Alexandria via LeMat-Bulk
Functional: PBEsol
Structure: optimized geometry

Properties
The energy of formation from the pure elements comes out at -323 meV/atom. The density of states at the Fermi level comes out at 0.629 states/eV/atom.

a b c (Å): 2.7883 2.7883 7.0378
angles (deg): 90.00 90.00 90.00
With the nearest neighbours (Å) after each atom.
Space group P4/mmm (No. 123)
Asymmetric unit:
Zn 0.0000 0.0000 0.0000 (multiplicity 1)  8 Rh 2.61, 4 Zn 2.79
Mo 0.0000 0.0000 0.5000 (multiplicity 1)  8 Rh 2.67, 4 Mo 2.79
Rh 0.5000 0.5000 0.2440 (multiplicity 2)  4 Zn 2.61, 4 Mo 2.67, 4 Rh 2.79

=====

4.
Compound: ZnTc
Source: Alexandria via LeMat-Bulk
Functional: PBEsol
Structure: optimized geometry

Properties
As for the energy above the most stable polymorph in this dataset: 38.3 meV/atom. The energy of formation from the pure elements comes out at -9 meV/atom. The density of states at the Fermi level comes out at 0.482 states/eV/atom.

a b c (Å): 2.7192 2.7192 26.2415
angles (deg): 90.00 90.00 120.00
With the nearest neighbours (Å) after each atom.
Space group R-3m (No. 166, hexagonal axes)
Asymmetric unit:
Zn 0.0000 0.0000 0.1238 (multiplicity 6)  9 Zn 2.72-2.74, 3 Tc 2.73
Tc 0.0000 0.0000 0.3720 (multiplicity 6)  9 Tc 2.56-2.72, 3 Zn 2.73

=====

5.
Compound: Ga2Se3
Source: Alexandria via LeMat-Bulk
Functional: PBEsol
Structure: optimized geometry

Properties
The total energy comes out at -4.20 eV per atom.

a b c (Å): 3.8255 11.5053 5.5293
angles (deg): 90.00 90.00 90.00
With the nearest neighbours (Å) after each atom.
Space group Imm2 (No. 44)
Asymmetric unit:
Ga 0.0000 0.1601 0.0000 (multiplicity 4)  4 Se 2.34-2.46
Se 0.0000 0.0000 0.2618 (multiplicity 2)  2 Ga 2.34
Se 0.0000 0.3443 0.2193 (multiplicity 4)  3 Ga 2.44-2.46

=====

6.
Compound: ZrCoP2
Source: Alexandria via LeMat-Bulk
Functional: PBEsol
Structure: optimized geometry

Properties
As for the energy above the most stable polymorph in this dataset: 0.0 meV/atom. The energy of formation from the pure elements comes out at -644 meV/atom. The density of states at the Fermi level comes out at 0.626 states/eV/atom.

a b c (Å): 3.2703 3.2703 5.3174
angles (deg): 90.00 90.00 90.00
With the nearest neighbours (Å) after each atom.
Space group P4mm (No. 99)
Asymmetric unit:
Zr 0.0000 0.0000 0.0000 (multiplicity 1)  6 P 2.57-2.70
Co 0.5000 0.5000 0.3710 (multiplicity 1)  5 P 2.23-2.40
P 0.0000 0.0000 0.4930 (multiplicity 1)  4 Co 2.40, 1 Zr 2.62
P 0.5000 0.5000 0.7900 (multiplicity 1)  1 Co 2.23

=====

7.
Compound: CuNi2Rh
Source: Alexandria via LeMat-Bulk
Functional: PBEsol
Structure: optimized geometry

Properties
The energy of formation from the pure elements comes out at 48 meV/atom. The density of states at the Fermi level comes out at 1.181 states/eV/atom.

a b c (Å): 2.5841 2.5841 6.8875
angles (deg): 90.00 90.00 90.00
With the nearest neighbours (Å) after each atom.
Space group P4/mmm (No. 123)
Asymmetric unit:
Cu 0.0000 0.0000 0.0000 (multiplicity 1)  8 Ni 2.48, 4 Cu 2.58
Ni 0.5000 0.5000 0.2429 (multiplicity 2)  4 Cu 2.48, 4 Rh 2.54, 4 Ni 2.58
Rh 0.0000 0.0000 0.5000 (multiplicity 1)  8 Ni 2.54, 4 Rh 2.58

=====

8.
Compound: K2CuAuF6
Source: Alexandria via LeMat-Bulk
Functional: PBEsol
Structure: optimized geometry

Properties
The total energy comes out at -4.07 eV per atom. The density of states at the Fermi level comes out at 0.259 states/eV/atom.

a b c (Å): 8.3692 8.3692 8.3692
angles (deg): 90.00 90.00 90.00
With the nearest neighbours (Å) after each atom.
Space group Fm-3m (No. 225)
Asymmetric unit:
K 0.2500 0.2500 0.2500 (multiplicity 8)  12 F 2.96
Cu 0.0000 0.0000 0.0000 (multiplicity 4)  6 F 1.97
Au 0.0000 0.0000 0.5000 (multiplicity 4)  6 F 2.22
F 0.0000 0.0000 0.2353 (multiplicity 24)  1 Cu 1.97

=====

9.
Compound: HIr3Se
Source: Alexandria via LeMat-Bulk
Functional: PBEsol
Structure: optimized geometry

Properties
The total energy comes out at -6.77 eV per atom. The density of states at the Fermi level comes out at 0.661 states/eV/atom.

a b c (Å): 3.9597 3.9597 3.9597
angles (deg): 90.00 90.00 90.00
With the nearest neighbours (Å) after each atom.
Space group Pm-3m (No. 221)
Asymmetric unit:
H 0.0000 0.0000 0.0000 (multiplicity 1)  6 Ir 1.98
Ir 0.0000 0.0000 0.5000 (multiplicity 3)  2 H 1.98
Se 0.5000 0.5000 0.5000 (multiplicity 1)  12 Ir 2.80

=====

10.
Compound: Mg2Te3O9
Source: Alexandria via LeMat-Bulk
Functional: PBEsol
Structure: optimized geometry

Properties
The total energy comes out at -5.90 eV per atom. The density of states at the Fermi level comes out at 0.000 states/eV/atom.

a b c (Å): 9.0048 7.2548 12.2154
angles (deg): 90.00 120.50 90.00
With the nearest neighbours (Å) after each atom.
Space group P2_1/c (No. 14)
Asymmetric unit:
Mg 0.0916 0.1231 0.1344 (multiplicity 4)  6 O 2.09-2.18
Mg 0.1014 0.5957 0.1402 (multiplicity 4)  5 O 2.08-2.30
Te 0.2596 0.6093 0.9207 (multiplicity 4)  3 O 1.92-1.96
Te 0.2778 0.1046 0.9379 (multiplicity 4)  3 O 1.89-2.08
Te 0.4916 0.1220 0.7438 (multiplicity 4)  6 O 1.89-1.98
O 0.0806 0.6472 0.9651 (multiplicity 4)  1 Te 1.96, 2 Mg 2.08-2.18
O 0.0842 0.0980 0.9589 (multiplicity 4)  1 Te 1.89
O 0.1078 0.0829 0.3158 (multiplicity 4)  1 Te 1.92
O 0.1999 0.6524 0.3328 (multiplicity 4)  2 Te 1.96-2.17, 1 Mg 2.09
O 0.2617 0.1530 0.7097 (multiplicity 4)  1 Te 1.91, 1 Mg 2.10
O 0.2896 0.5675 0.7341 (multiplicity 4)  1 Te 1.89, 1 Mg 2.09
O 0.4091 0.1876 0.5687 (multiplicity 4)  2 Te 1.93-2.08
O 0.4154 0.6327 0.1907 (multiplicity 4)  2 Te 1.96
O 0.4306 0.5705 0.5762 (multiplicity 4)  2 Te 1.98-2.00

=====

11.
Compound: OsNClF2
Source: Alexandria via LeMat-Bulk
Functional: PBEsol
Structure: optimized geometry

Properties
As for the energy above the most stable polymorph in this dataset: 1769.8 meV/atom. The density of states at the Fermi level comes out at 0.762 states/eV/atom.

a b c (Å): 4.7833 4.7833 3.1712
angles (deg): 90.00 90.00 90.00
With the nearest neighbours (Å) after each atom.
Space group P4/mmm (No. 123)
Asymmetric unit:
Os 0.0000 0.0000 0.0000 (multiplicity 1)  8 F 2.87, 2 Os 3.17
N 0.5000 0.5000 0.0000 (multiplicity 1)  2 Cl 1.59
Cl 0.5000 0.5000 0.5000 (multiplicity 1)  2 N 1.59
F 0.0000 0.5000 0.5000 (multiplicity 2)  2 Cl 2.39

=====

12.
Compound: Y2SiAg
Source: Alexandria via LeMat-Bulk
Functional: PBEsol
Structure: optimized geometry

Properties
The total energy comes out at -6.25 eV per atom. The density of states at the Fermi level comes out at 0.700 states/eV/atom.

a b c (Å): 4.2083 4.0272 10.7947
angles (deg): 90.00 90.00 90.00
With the nearest neighbours (Å) after each atom.
Space group Amm2 (No. 38)
Asymmetric unit:
Y 0.0000 0.0000 0.0000 (multiplicity 2)  4 Si 2.98, 3 Ag 3.05-3.10
Y 0.5000 0.0000 0.2818 (multiplicity 2)  3 Si 2.99-3.14, 4 Ag 3.01
Si 0.5000 0.0000 0.5586 (multiplicity 2)  2 Ag 2.68, 5 Y 2.98-2.99
Ag 0.0000 0.0000 0.7127 (multiplicity 2)  2 Si 2.68

=====

13.
Compound: SiHIr2O
Source: Alexandria via LeMat-Bulk
Functional: PBEsol
Structure: optimized geometry

Properties
The total energy comes out at -5.71 eV per atom. The density of states at the Fermi level comes out at 0.966 states/eV/atom.

a b c (Å): 4.5049 4.5049 2.9510
angles (deg): 90.00 90.00 90.00
With the nearest neighbours (Å) after each atom.
Space group P4/mmm (No. 123)
Asymmetric unit:
Si 0.0000 0.0000 0.0000 (multiplicity 1)  2 H 1.48
H 0.0000 0.0000 0.5000 (multiplicity 1)  2 Si 1.48
Ir 0.0000 0.5000 0.0000 (multiplicity 2)  2 Si 2.25
O 0.5000 0.5000 0.5000 (multiplicity 1)  8 Ir 2.69, 2 O 2.95

=====

14.
Compound: HfAl2As
Source: Alexandria via LeMat-Bulk
Functional: PBEsol
Structure: optimized geometry

Properties
The energy of formation from the pure elements comes out at -64 meV/atom. The density of states at the Fermi level comes out at 0.682 states/eV/atom.

a b c (Å): 7.4689 7.4689 5.3593
angles (deg): 90.00 90.00 90.00
With the nearest neighbours (Å) after each atom.
Space group I-42d (No. 122)
Asymmetric unit:
Hf 0.0000 0.0000 0.0000 (multiplicity 4)  2 As 2.68, 4 Al 2.91
Al 0.2149 0.2500 0.6250 (multiplicity 8)  2 As 2.55, 2 Al 2.73
As 0.0000 0.0000 0.5000 (multiplicity 4)  4 Al 2.55, 2 Hf 2.68

=====

15.
Compound: ZrTcSe2
Source: Alexandria via LeMat-Bulk
Functional: PBEsol
Structure: optimized geometry

Properties
As for the energy above the most stable polymorph in this dataset: 44.7 meV/atom. The density of states at the Fermi level comes out at 0.620 states/eV/atom.

a b c (Å): 9.2230 3.2963 4.5968
angles (deg): 90.00 103.36 90.00
With the nearest neighbours (Å) after each atom.
Space group Cm (No. 8)
Asymmetric unit:
Zr 0.0000 0.0000 0.0000 (multiplicity 2)  7 Se 2.61-2.86, 1 Tc 2.91
Tc 0.2746 0.5000 0.3498 (multiplicity 2)  5 Se 2.63-2.73, 1 Zr 2.91
Se 0.0027 0.5000 0.4917 (multiplicity 2)  3 Tc 2.63-2.73, 4 Zr 2.79-2.86
Se 0.2648 0.0000 0.8857 (multiplicity 2)  3 Zr 2.61-2.68, 2 Tc 2.68

=====

16.
Compound: Mn3SnC
Source: Alexandria via LeMat-Bulk
Functional: PBEsol
Structure: optimized geometry

Properties
The energy of formation from the pure elements comes out at -55 meV/atom. The density of states at the Fermi level comes out at 0.777 states/eV/atom.

a b c (Å): 3.8421 3.8421 3.8421
angles (deg): 90.00 90.00 90.00
With the nearest neighbours (Å) after each atom.
Space group Pm-3m (No. 221)
Asymmetric unit:
Mn 0.0000 0.0000 0.5000 (multiplicity 3)  2 C 1.92
Sn 0.5000 0.5000 0.5000 (multiplicity 1)  12 Mn 2.72
C 0.0000 0.0000 0.0000 (multiplicity 1)  6 Mn 1.92

=====

17.
Compound: CsB5O8
Source: Alexandria via LeMat-Bulk
Functional: PBEsol
Structure: optimized geometry

Properties
As for the energy above the most stable polymorph in this dataset: 15.1 meV/atom. The density of states at the Fermi level comes out at 0.000 states/eV/atom.

a b c (Å): 7.1320 9.7250 11.4845
angles (deg): 90.00 117.07 90.00
With the nearest neighbours (Å) after each atom.
Space group P2_1/c (No. 14)
Asymmetric unit:
Cs 0.1960 0.0079 0.2766 (multiplicity 4)  8 O 3.04-3.28
B 0.0360 0.7492 0.0198 (multiplicity 4)  3 O 1.35-1.39
B 0.2230 0.0915 0.6281 (multiplicity 4)  3 O 1.35-1.40
B 0.3311 0.2235 0.0238 (multiplicity 4)  4 O 1.47-1.50
B 0.3582 0.6933 0.5093 (multiplicity 4)  3 O 1.35-1.39
B 0.3677 0.5904 0.3218 (multiplicity 4)  3 O 1.35-1.40
O 0.0209 0.1482 0.5760 (multiplicity 4)  2 B 1.39-1.40
O 0.1054 0.1963 0.9448 (multiplicity 4)  2 B 1.35-1.47
O 0.2435 0.7085 0.5784 (multiplicity 4)  2 B 1.38
O 0.2514 0.6404 0.3830 (multiplicity 4)  2 B 1.39-1.40
O 0.2536 0.5169 0.2103 (multiplicity 4)  2 B 1.36-1.37
O 0.3665 0.1408 0.5921 (multiplicity 4)  2 B 1.35-1.50
O 0.4231 0.1160 0.1262 (multiplicity 4)  2 B 1.35-1.48
O 0.4350 0.2267 0.9387 (multiplicity 4)  2 B 1.35-1.47

=====

18.
Compound: RbNaHf2Ni
Source: Alexandria via LeMat-Bulk
Functional: PBEsol
Structure: optimized geometry

Properties
The energy of formation from the pure elements comes out at 2222 meV/atom. The density of states at the Fermi level comes out at 0.975 states/eV/atom.

a b c (Å): 5.1116 5.1116 4.5892
angles (deg): 90.00 90.00 90.00
With the nearest neighbours (Å) after each atom.
Space group P4/mmm (No. 123)
Asymmetric unit:
Rb 0.0000 0.0000 0.0000 (multiplicity 1)  2 Ni 2.29, 4 Hf 2.56
Na 0.5000 0.5000 0.5000 (multiplicity 1)  8 Hf 3.43, 4 Ni 3.61
Hf 0.0000 0.5000 0.0000 (multiplicity 2)  2 Rb 2.56
Ni 0.0000 0.0000 0.5000 (multiplicity 1)  2 Rb 2.29

=====

19.
Compound: HgRu2Cl
Source: Alexandria via LeMat-Bulk
Functional: PBEsol
Structure: optimized geometry

Properties
As for the energy above the most stable polymorph in this dataset: 512.2 meV/atom. The density of states at the Fermi level comes out at 1.123 states/eV/atom.

a b c (Å): 2.8475 4.7063 9.5795
angles (deg): 90.00 90.00 90.00
With the nearest neighbours (Å) after each atom.
Space group Imm2 (No. 44)
Asymmetric unit:
Hg 0.0000 0.0000 0.0000 (multiplicity 2)  6 Ru 2.75-3.04, 2 Hg 2.85, 2 Cl 3.04
Ru 0.0000 0.0000 0.4979 (multiplicity 2)  2 Cl 2.52, 2 Ru 2.55, 4 Hg 2.75
Ru 0.0000 0.5000 0.2191 (multiplicity 2)  4 Ru 2.55-2.85, 4 Cl 2.81
Cl 0.0000 0.5000 0.7807 (multiplicity 2)  6 Ru 2.52-2.81

=====

20.
Compound: Y2HfO5
Source: Alexandria via LeMat-Bulk
Functional: PBEsol
Structure: optimized geometry

Properties
As for the energy above the most stable polymorph in this dataset: 20.0 meV/atom. The density of states at the Fermi level comes out at 0.000 states/eV/atom.

a b c (Å): 11.7217 5.4462 7.5779
angles (deg): 90.00 113.65 90.00
With the nearest neighbours (Å) after each atom.
Space group C2/c (No. 15)
Asymmetric unit:
Y 0.1394 0.0062 0.2521 (multiplicity 8)  5 O 2.16-2.37
Hf 0.0000 0.5000 0.0000 (multiplicity 4)  6 O 2.06-2.13
O 0.0000 0.3227 0.2500 (multiplicity 4)  2 Hf 2.13, 2 Y 2.37
O 0.0740 0.1733 0.9566 (multiplicity 8)  1 Hf 2.06, 2 Y 2.21-2.25
O 0.1741 0.3465 0.6464 (multiplicity 8)  1 Hf 2.07, 2 Y 2.16-2.18

=====

21.
Compound: In2TcW
Source: Alexandria via LeMat-Bulk
Functional: PBEsol
Structure: optimized geometry

Properties
As for the energy above the most stable polymorph in this dataset: 9.5 meV/atom. The energy of formation from the pure elements comes out at 546 meV/atom. The density of states at the Fermi level comes out at 0.818 states/eV/atom.

a b c (Å): 9.4704 3.0722 4.8920
angles (deg): 90.00 102.64 90.00
With the nearest neighbours (Å) after each atom.
Space group C2/m (No. 12)
Asymmetric unit:
In 0.2456 0.0000 0.2447 (multiplicity 4)  3 Tc 2.83-2.92, 6 In 2.86-3.07, 3 W 2.87-2.90
Tc 0.0000 0.5000 0.0000 (multiplicity 2)  6 In 2.83-2.92, 4 W 2.89, 2 Tc 3.07
W 0.0000 0.0000 0.5000 (multiplicity 2)  6 In 2.87-2.90, 4 Tc 2.89, 2 W 3.07

=====

22.
Compound: MnAl2Zn
Source: Alexandria via LeMat-Bulk
Functional: PBEsol
Structure: optimized geometry

Properties
The energy of formation from the pure elements comes out at -140 meV/atom. The density of states at the Fermi level comes out at 0.280 states/eV/atom.

a b c (Å): 3.7075 3.7075 7.6829
angles (deg): 90.00 90.00 90.00
With the nearest neighbours (Å) after each atom.
Space group I4/mmm (No. 139)
Asymmetric unit:
Mn 0.0000 0.0000 0.0000 (multiplicity 2)  4 Zn 2.62, 8 Al 2.67
Al 0.0000 0.5000 0.2500 (multiplicity 4)  4 Al 2.62, 4 Mn 2.67, 4 Zn 2.67
Zn 0.0000 0.0000 0.5000 (multiplicity 2)  4 Mn 2.62, 8 Al 2.67